# 1
Here is crystalline ReP2Os at its relaxed geometry from Alexandria. Energies are from PBE.

Electronic total energy ... -8.153 eV/atom
Theoretical density ... 12.7 g cm⁻³

abc: 2.8656 5.1771 3.8712
angles: 90.00 90.00 90.00
With the nearest neighbours (Å) after each atom.
Sites, in units of the cell vectors:
P: 0.5000 0.5000 0.0000  4 Os 2.41
Os: 0.0000 0.5000 0.5000  4 P 2.41
Re: 0.5000 0.0000 0.5000  4 P 2.41
P: 0.0000 0.0000 0.0000  4 Re 2.41

***

# 2
Here is crystalline ReP2Os at its relaxed geometry from Alexandria. Energies are from PBE.

Electronic total energy ... -7.846 eV/atom
Theoretical density ... 12.7 g cm⁻³

abc: 4.3295 4.3295 4.3295
angles: 60.00 60.00 60.00
With the nearest neighbours (Å) after each atom.
Sites, in units of the cell vectors:
Re: 0.7500 0.7500 0.7500  4 Os 2.65, 4 P 2.65
P: 0.2500 0.2500 0.2500  4 Os 2.65, 4 P 2.65
P: 0.0000 0.0000 0.0000  4 P 2.65, 4 Re 2.65
Os: 0.5000 0.5000 0.5000  4 Re 2.65, 4 P 2.65

***

# 3
Here is crystalline Re3POs at its relaxed geometry from Alexandria. Energies are from PBE.

Electronic total energy ... -9.664 eV/atom
Theoretical density ... 16.1 g cm⁻³

abc: 4.3165 4.3165 4.3165
angles: 90.00 90.00 90.00
With the nearest neighbours (Å) after each atom.
Sites, in units of the cell vectors:
Os: 0.5000 0.5000 0.5000  12 Re 3.05
P: 0.0000 0.0000 0.0000  6 Re 2.16
Re: 0.0000 0.0000 0.5000  2 P 2.16
Re: 0.0000 0.5000 0.0000  2 P 2.16
Re: 0.5000 0.0000 0.0000  2 P 2.16

***

# 4
Here is crystalline ReP2Os at its relaxed geometry from Alexandria. Energies are from PBE.

Electronic total energy ... -8.454 eV/atom
Theoretical density ... 9.9 g cm⁻³

abc: 5.3361 5.3361 6.3864
angles: 65.31 65.31 90.00
With the nearest neighbours (Å) after each atom.
Sites, in units of the cell vectors:
Os: 0.0000 0.0000 0.0000  4 P 2.27
P: 0.8750 0.8807 0.7500  2 Os 2.27, 2 Re 2.30
Re: 0.5000 0.5000 0.0000  4 P 2.30
Re: 0.2500 0.7500 0.5000  4 P 2.30
Os: 0.7500 0.2500 0.5000  4 P 2.27
P: 0.6307 0.1250 0.2500  2 Os 2.27, 2 Re 2.30
P: 0.3750 0.3693 0.7500  2 Os 2.27, 2 Re 2.30
P: 0.1193 0.6250 0.2500  2 Os 2.27, 2 Re 2.30

***

# 5
Here is crystalline RePOs3 at its relaxed geometry from Alexandria. Energies are from PBE.

Electronic total energy ... -9.028 eV/atom
Theoretical density ... 16.3 g cm⁻³

abc: 4.3163 4.3163 4.3163
angles: 90.00 90.00 90.00
With the nearest neighbours (Å) after each atom.
Sites, in units of the cell vectors:
P: 0.0000 0.0000 0.0000  6 Os 2.16
Re: 0.5000 0.5000 0.5000  12 Os 3.05
Os: 0.0000 0.0000 0.5000  2 P 2.16
Os: 0.5000 0.0000 0.0000  2 P 2.16
Os: 0.0000 0.5000 0.0000  2 P 2.16

***

# 6
Here is crystalline ReP2Os at its relaxed geometry from Alexandria. Energies are from PBE.

Electronic total energy ... -8.590 eV/atom
Theoretical density ... 11.6 g cm⁻³

abc: 2.8599 2.8599 7.6956
angles: 90.00 90.00 90.00
With the nearest neighbours (Å) after each atom.
Sites, in units of the cell vectors:
Os: 0.5000 0.5000 0.7524  4 P 2.47
P: 0.0000 0.0000 0.9372  4 Os 2.47
P: 0.5000 0.5000 0.3119  4 Re 2.48
Re: 0.0000 0.0000 0.4985  4 P 2.48

***

# 7
Here is crystalline ReP2Os at its relaxed geometry from Alexandria. Energies are from PBE.

Electronic total energy ... -8.149 eV/atom
Theoretical density ... 12.7 g cm⁻³

abc: 4.8633 4.8633 4.8633
angles: 145.58 115.80 74.92
With the nearest neighbours (Å) after each atom.
Sites, in units of the cell vectors:
P: 0.0021 0.0021 0.0000  2 Os 2.39, 2 Re 2.42
P: 0.4979 0.4979 0.0000  2 Os 2.39, 2 Re 2.42
Re: 0.7500 0.2500 0.5000  4 P 2.42
Os: 0.2500 0.7500 0.5000  4 P 2.39

***

# 8
Here is crystalline RePOs at its relaxed geometry from Alexandria. Energies are from PBE.

Electronic total energy ... -9.406 eV/atom
Theoretical density ... 15.9 g cm⁻³

abc: 4.4511 4.4511 4.4511
angles: 142.18 127.17 66.79
With the nearest neighbours (Å) after each atom.
Sites, in units of the cell vectors:
Os: 0.9904 0.9904 0.0000  1 P 2.40, 5 Re 2.62-2.68
P: 0.6670 0.6670 0.0000  1 Os 2.40, 1 Re 2.41
Re: 0.3426 0.3426 0.0000  1 P 2.41, 5 Os 2.62-2.68

***

# 9
Here is crystalline ReP2Os at its relaxed geometry from Alexandria. Energies are from PBE.

Electronic total energy ... -8.607 eV/atom
Theoretical density ... 13.5 g cm⁻³

abc: 2.9074 5.0401 4.9993
angles: 47.50 90.00 90.00
With the nearest neighbours (Å) after each atom.
Sites, in units of the cell vectors:
Re: 0.5000 0.5000 0.5000  6 P 2.49-2.50
P: 0.5000 0.5000 0.0000  4 Os 2.49, 2 Re 2.50
P: 0.0000 0.0000 0.0000  4 Re 2.49, 2 Os 2.50
Os: 0.0000 0.0000 0.5000  6 P 2.49-2.50

***

# 10
Here is crystalline ReP2Os at its relaxed geometry from Alexandria. Energies are from PBE.

Electronic total energy ... -8.437 eV/atom
Theoretical density ... 13.2 g cm⁻³

abc: 5.2902 5.2902 5.2902
angles: 147.78 135.17 56.27
With the nearest neighbours (Å) after each atom.
Sites, in units of the cell vectors:
P: 0.0169 0.0169 0.0000  4 Re 2.50, 2 Os 2.51
Os: 0.2346 0.7346 0.5000  6 P 2.49-2.51
Re: 0.5130 0.5130 0.0000  6 P 2.50-2.54
P: 0.7355 0.2355 0.5000  4 Os 2.49, 2 Re 2.54

***

# 11
Here is crystalline RePOs at its relaxed geometry from Alexandria. Energies are from PBE.

Electronic total energy ... -9.180 eV/atom
Theoretical density ... 15.7 g cm⁻³

abc: 6.5725 6.2613 2.8488
angles: 83.37 71.13 25.50
With the nearest neighbours (Å) after each atom.
Sites, in units of the cell vectors:
Os: 0.9853 0.9853 0.0147  2 P 2.33
Re: 0.6800 0.6800 0.3200  2 P 2.37
P: 0.3347 0.3347 0.6653  2 Os 2.33, 2 Re 2.37

***

# 12
Here is crystalline ReP2Os at its relaxed geometry from Alexandria. Energies are from PBE.

Electronic total energy ... -8.144 eV/atom
Theoretical density ... 13.2 g cm⁻³

abc: 4.6798 4.6798 4.6798
angles: 132.22 132.22 69.88
With the nearest neighbours (Å) after each atom.
Sites, in units of the cell vectors:
P: 0.2500 0.7500 0.5000  4 Os 2.68, 4 P 2.70, 4 Re 2.70
Re: 0.5000 0.5000 0.0000  8 P 2.68-2.70, 4 Os 2.70
Os: 0.7500 0.2500 0.5000  8 P 2.68-2.70, 4 Re 2.70
P: 0.0000 0.0000 0.0000  4 Re 2.68, 4 P 2.70, 4 Os 2.70

***

# 13
Here is crystalline RePOs2Ru at its relaxed geometry from Alexandria. Energies are from PBE.

Electronic total energy ... -8.803 eV/atom
Theoretical density ... 14.5 g cm⁻³

abc: 4.2953 4.3472 4.2953
angles: 90.00 90.00 90.00
With the nearest neighbours (Å) after each atom.
Sites, in units of the cell vectors:
Os: 0.5000 0.0000 0.0000  2 P 2.15
Os: 0.0000 0.0000 0.5000  2 P 2.15
Re: 0.0000 0.5000 0.0000  2 P 2.17
P: 0.0000 0.0000 0.0000  4 Os 2.15, 2 Re 2.17
Ru: 0.5000 0.5000 0.5000  4 Re 3.04, 8 Os 3.06

***

# 14
Here is crystalline RePOs2Ru at its relaxed geometry from Alexandria. Energies are from PBE.

Electronic total energy ... -7.830 eV/atom
Theoretical density ... 11.8 g cm⁻³

abc: 4.7244 4.4043 4.7244
angles: 90.00 90.00 90.00
With the nearest neighbours (Å) after each atom.
Sites, in units of the cell vectors:
Re: 0.0000 0.0000 0.0000  2 P 2.20, 4 Os 2.36
Ru: 0.5000 0.5000 0.5000  8 Os 3.23, 4 P 3.34
P: 0.0000 0.5000 0.0000  2 Re 2.20
Os: 0.5000 0.0000 0.0000  2 Re 2.36
Os: 0.0000 0.0000 0.5000  2 Re 2.36

***

# 15
Here is crystalline ReTeP2Os at its relaxed geometry from Alexandria. Energies are from PBE.

Electronic total energy ... -6.152 eV/atom
Theoretical density ... 8.4 g cm⁻³

abc: 4.4377 5.7087 4.4377
angles: 90.00 90.00 90.00
With the nearest neighbours (Å) after each atom.
Sites, in units of the cell vectors:
Te: 0.0000 0.5000 0.0000  2 Re 2.85, 4 Os 3.14
Re: 0.0000 0.0000 0.0000  4 P 2.22
P: 0.0000 0.0000 0.5000  2 Re 2.22
Os: 0.5000 0.5000 0.5000  4 Te 3.14
P: 0.5000 0.0000 0.0000  2 Re 2.22

***

# 16
Here is crystalline VReP2Os at its relaxed geometry from Alexandria. Energies are from PBE.

Electronic total energy ... -7.162 eV/atom
Theoretical density ... 8.4 g cm⁻³

abc: 4.4428 4.9121 4.4428
angles: 90.00 90.00 90.00
With the nearest neighbours (Å) after each atom.
Sites, in units of the cell vectors:
Re: 0.0000 0.5000 0.0000  2 Os 2.46
P: 0.0000 0.0000 0.5000  2 Os 2.22
Os: 0.0000 0.0000 0.0000  4 P 2.22, 2 Re 2.46
P: 0.5000 0.0000 0.0000  2 Os 2.22
V: 0.5000 0.5000 0.5000  4 Re 3.14, 8 P 3.31

***

# 17
Here is crystalline VRe2POs at its relaxed geometry from Alexandria. Energies are from PBE.

Electronic total energy ... -9.298 eV/atom
Theoretical density ... 13.2 g cm⁻³

abc: 4.3473 4.2827 4.3473
angles: 90.00 90.00 90.00
With the nearest neighbours (Å) after each atom.
Sites, in units of the cell vectors:
Re: 0.0000 0.0000 0.5000  2 P 2.17
V: 0.5000 0.5000 0.5000  8 Re 3.05, 4 Os 3.07
P: 0.0000 0.0000 0.0000  2 Os 2.14, 4 Re 2.17
Os: 0.0000 0.5000 0.0000  2 P 2.14
Re: 0.5000 0.0000 0.0000  2 P 2.17

***

# 18
Here is crystalline ReP2OsW at its relaxed geometry from Alexandria. Energies are from PBE.

Electronic total energy ... -7.627 eV/atom
Theoretical density ... 10.3 g cm⁻³

abc: 4.5352 4.8752 4.5352
angles: 90.00 90.00 90.00
With the nearest neighbours (Å) after each atom.
Sites, in units of the cell vectors:
Os: 0.0000 0.5000 0.0000  2 W 2.44
W: 0.0000 0.0000 0.0000  4 P 2.27, 2 Os 2.44
Re: 0.5000 0.5000 0.5000  4 Os 3.21, 8 P 3.33
P: 0.0000 0.0000 0.5000  2 W 2.27
P: 0.5000 0.0000 0.0000  2 W 2.27

***

# 19
Here is crystalline P2OsRh at its relaxed geometry from Alexandria. Energies are from PBE.

Electronic total energy ... -7.306 eV/atom
Theoretical density ... 11.1 g cm⁻³

abc: 4.2203 4.2203 4.2203
angles: 60.00 60.00 60.00
With the nearest neighbours (Å) after each atom.
Sites, in units of the cell vectors:
Os: 0.5000 0.5000 0.5000  8 P 2.58
P: 0.7500 0.7500 0.7500  4 Os 2.58, 4 Rh 2.58
P: 0.2500 0.2500 0.2500  4 Os 2.58, 4 Rh 2.58
Rh: 0.0000 0.0000 0.0000  8 P 2.58

***

# 20
Here is crystalline P2OsRh at its relaxed geometry from Alexandria. Energies are from PBE.

Electronic total energy ... -7.533 eV/atom
Theoretical density ... 10.9 g cm⁻³

abc: 7.4809 7.4809 7.4809
angles: 22.58 22.58 22.58
With the nearest neighbours (Å) after each atom.
Sites, in units of the cell vectors:
Os: 0.2500 0.2500 0.2500  6 P 2.46
P: 0.5014 0.5014 0.5014  3 Os 2.46, 3 Rh 2.51
P: 0.9986 0.9986 0.9986  3 Os 2.46, 3 Rh 2.51
Rh: 0.7500 0.7500 0.7500  6 P 2.51

***

# 21
Here is crystalline P2OsRh2 at its relaxed geometry from Alexandria. Energies are from PBE.

Electronic total energy ... -7.439 eV/atom
Theoretical density ... 11.3 g cm⁻³

abc: 6.5620 6.5620 3.1244
angles: 90.00 90.00 90.00
With the nearest neighbours (Å) after each atom.
Sites, in units of the cell vectors:
P: 0.3456 0.8456 0.0000  6 Rh 2.42-2.51, 2 Os 2.48
Rh: 0.8543 0.3543 0.5000  6 P 2.42-2.51, 1 Rh 2.71
P: 0.1544 0.3456 0.0000  6 Rh 2.42-2.51, 2 Os 2.48
P: 0.6544 0.1544 0.0000  6 Rh 2.42-2.51, 2 Os 2.48
P: 0.8456 0.6544 0.0000  6 Rh 2.42-2.51, 2 Os 2.48
Rh: 0.1457 0.6457 0.5000  6 P 2.42-2.51, 1 Rh 2.71
Rh: 0.3543 0.1457 0.5000  6 P 2.42-2.51, 1 Rh 2.71
Os: 0.5000 0.5000 0.0000  4 P 2.48
Os: 0.0000 0.0000 0.0000  4 P 2.48
Rh: 0.6457 0.8543 0.5000  6 P 2.42-2.51, 1 Rh 2.71

***

# 22
Here is crystalline P2OsRh at its relaxed geometry from Alexandria. Energies are from PBE.

Electronic total energy ... -7.044 eV/atom
Theoretical density ... 10.4 g cm⁻³

abc: 2.9001 5.0516 3.8766
angles: 90.00 90.00 90.00
With the nearest neighbours (Å) after each atom.
Sites, in units of the cell vectors:
Rh: 0.5000 0.0000 0.5000  4 P 2.42
P: 0.5000 0.5000 0.0000  4 Os 2.42
Os: 0.0000 0.5000 0.5000  4 P 2.42
P: 0.0000 0.0000 0.0000  4 Rh 2.42

***

# 23
Here is crystalline POs2Rh at its relaxed geometry from Alexandria. Energies are from PBE.

Electronic total energy ... -8.376 eV/atom
Theoretical density ... 15.4 g cm⁻³

abc: 3.8490 3.8490 3.7340
angles: 90.00 90.00 90.00
With the nearest neighbours (Å) after each atom.
Sites, in units of the cell vectors:
Os: 0.5000 0.0000 0.0000  4 Rh 2.68, 4 P 2.68, 4 Os 2.72
Os: 0.0000 0.5000 0.0000  4 Rh 2.68, 4 P 2.68, 4 Os 2.72
P: 0.5000 0.5000 0.5000  8 Os 2.68, 4 Rh 2.72
Rh: 0.0000 0.0000 0.5000  8 Os 2.68, 4 P 2.72

***

# 24
Here is crystalline POsRh3 at its relaxed geometry from Alexandria. Energies are from PBE.

Electronic total energy ... -6.176 eV/atom
Theoretical density ... 8.5 g cm⁻³

abc: 4.6879 4.6879 4.6879
angles: 90.00 90.00 90.00
With the nearest neighbours (Å) after each atom.
Sites, in units of the cell vectors:
P: 0.5000 0.5000 0.5000  12 Rh 3.31
Rh: 0.0000 0.0000 0.5000  2 Os 2.34
Rh: 0.0000 0.5000 0.0000  2 Os 2.34
Os: 0.0000 0.0000 0.0000  6 Rh 2.34
Rh: 0.5000 0.0000 0.0000  2 Os 2.34

***

# 25
Here is crystalline POs2Rh at its relaxed geometry from Alexandria. Energies are from PBE.

Electronic total energy ... -8.315 eV/atom
Theoretical density ... 14.7 g cm⁻³

abc: 5.4443 5.4443 2.7506
angles: 75.32 75.32 123.00
With the nearest neighbours (Å) after each atom.
Sites, in units of the cell vectors:
Os: 0.5000 0.0000 0.0000  6 Os 2.59-2.75, 2 P 2.72, 2 Rh 2.72
P: 0.5000 0.5000 0.5000  4 Rh 2.59-2.60, 4 Os 2.72, 2 P 2.75
Rh: 0.0000 0.0000 0.5000  4 P 2.59-2.60, 4 Os 2.72, 2 Rh 2.75
Os: 0.0000 0.5000 0.0000  6 Os 2.59-2.75, 2 P 2.72, 2 Rh 2.72

***

# 26
Here is crystalline POsRh3 at its relaxed geometry from Alexandria. Energies are from PBE.

Electronic total energy ... -7.041 eV/atom
Theoretical density ... 10.8 g cm⁻³

abc: 4.3311 4.3311 4.3311
angles: 90.00 90.00 90.00
With the nearest neighbours (Å) after each atom.
Sites, in units of the cell vectors:
Rh: 0.5000 0.0000 0.0000  2 P 2.17
Os: 0.5000 0.5000 0.5000  12 Rh 3.06
P: 0.0000 0.0000 0.0000  6 Rh 2.17
Rh: 0.0000 0.5000 0.0000  2 P 2.17
Rh: 0.0000 0.0000 0.5000  2 P 2.17

***

# 27
Here is crystalline POs2Rh at its relaxed geometry from Alexandria. Energies are from PBE.

Electronic total energy ... -8.450 eV/atom
Theoretical density ... 15.5 g cm⁻³

abc: 4.4160 4.4160 2.8485
angles: 90.00 90.00 96.04
With the nearest neighbours (Å) after each atom.
Sites, in units of the cell vectors:
Os: 0.0000 0.5000 0.0000  4 Rh 2.63, 4 P 2.63, 2 Os 2.85
P: 0.0000 0.0000 0.5000  8 Os 2.63, 2 P 2.85
Os: 0.5000 0.0000 0.0000  4 Rh 2.63, 4 P 2.63, 2 Os 2.85
Rh: 0.5000 0.5000 0.5000  8 Os 2.63, 2 Rh 2.85

***

# 28
Here is crystalline POs2Rh at its relaxed geometry from Alexandria. Energies are from PBE.

Electronic total energy ... -8.509 eV/atom
Theoretical density ... 15.5 g cm⁻³

abc: 4.6114 4.6114 4.6114
angles: 130.73 130.73 72.25
With the nearest neighbours (Å) after each atom.
Sites, in units of the cell vectors:
Os: 0.0000 0.0000 0.0000  4 Rh 2.68, 4 Os 2.68, 4 P 2.72
P: 0.5000 0.5000 0.0000  8 Os 2.68-2.72, 4 Rh 2.68
Rh: 0.7500 0.2500 0.5000  8 Os 2.68-2.72, 4 P 2.68
Os: 0.2500 0.7500 0.5000  4 P 2.68, 4 Os 2.68, 4 Rh 2.72

***

# 29
Here is crystalline P2OsRh at its relaxed geometry from Alexandria. Energies are from PBE.

Electronic total energy ... -7.490 eV/atom
Theoretical density ... 11.0 g cm⁻³

abc: 2.9240 5.0233 4.9627
angles: 47.59 90.00 90.00
With the nearest neighbours (Å) after each atom.
Sites, in units of the cell vectors:
P: 0.0000 0.0000 0.0000  2 Os 2.48, 4 Rh 2.49
P: 0.5000 0.5000 0.0000  2 Rh 2.48, 4 Os 2.49
Os: 0.0000 0.0000 0.5000  6 P 2.48-2.49
Rh: 0.5000 0.5000 0.5000  6 P 2.48-2.49

***

# 30
Here is crystalline POs2Rh at its relaxed geometry from Alexandria. Energies are from PBE.

Electronic total energy ... -8.730 eV/atom
Theoretical density ... 15.3 g cm⁻³

abc: 3.8466 2.8794 5.1995
angles: 75.18 90.00 90.00
With the nearest neighbours (Å) after each atom.
Sites, in units of the cell vectors:
Os: 0.0000 0.8615 0.7662  2 P 2.37
P: 0.5000 0.5000 0.0000  4 Os 2.37, 2 Rh 2.60
Os: 0.0000 0.1385 0.2338  2 P 2.37
Rh: 0.5000 0.5000 0.5000  2 P 2.60, 8 Os 2.73-2.77, 2 Rh 2.88